Compound: Fe2HgBr
Source: the Alexandria database
Functional: PBE
Structure: optimized geometry

Calculated values
As for the space group: P4/mmm (123). Its magnetization is 1.4800 μB/atom. The density of states at the Fermi level comes out at 1.064 states/eV per atom. Its formation energy without anion corrections is 0.584 eV/atom. The calculation puts the polymorph energy (0 for the lowest one) at 302 meV/atom.

Lattice parameters (Å, degrees): 3.4703 3.4690 6.4792 90.00 90.00 90.00
Each line ends with the local moment (μB).
Sites, in units of the cell vectors:
Br 0.5000 0.5000 0.7500  0.07
Fe 0.0000 0.0000 0.0645  2.89
Fe 0.0000 0.0000 0.4355  2.89
Hg 0.5000 0.5000 0.2500  -0.05

---

Compound: FeHg2Br
Source: the Alexandria database
Functional: PBE
Structure: optimized geometry

Calculated values
As for the space group: Immm (71). Its magnetization is 0.7663 μB/atom. The density of states at the Fermi level comes out at 0.906 states/eV per atom. Its formation energy without anion corrections is 0.287 eV/atom. The calculation puts the polymorph energy (0 for the lowest one) at 160 meV/atom.

Lattice parameters (Å, degrees): 7.4225 7.4225 4.3637 72.92 72.92 24.77
Each line ends with the local moment (μB).
Sites, in units of the cell vectors:
Br 0.2500 0.2500 0.2500  0.08
Fe 0.7500 0.7500 0.7500  2.98
Hg 0.0648 0.0648 0.9354  0.01
Hg 0.4352 0.4352 0.5646  0.01

---

Compound: FeHg2Br
Source: the Alexandria database
Functional: PBE
Structure: optimized geometry

Calculated values
As for the space group: Cmmm (65). Its magnetization is 0.7558 μB/atom. The density of states at the Fermi level comes out at 0.826 states/eV per atom. Its formation energy without anion corrections is 0.177 eV/atom. The calculation puts the polymorph energy (0 for the lowest one) at 50 meV/atom.

Lattice parameters (Å, degrees): 3.4662 6.8204 6.8181 41.21 90.00 90.00
Each line ends with the local moment (μB).
Sites, in units of the cell vectors:
Br 0.5000 0.2500 0.2500  0.09
Fe 0.5000 0.7500 0.7500  2.89
Hg 0.0000 0.9220 0.9222  0.01
Hg 0.0000 0.5780 0.5778  0.01

---

Compound: Fe2HgBr
Source: the Alexandria database
Functional: PBE
Structure: optimized geometry

Calculated values
As for the space group: Imm2 (44). Its magnetization is 1.4552 μB/atom. The density of states at the Fermi level comes out at 0.792 states/eV per atom. Its formation energy without anion corrections is 0.423 eV/atom. The calculation puts the polymorph energy (0 for the lowest one) at 141 meV/atom.

Lattice parameters (Å, degrees): 6.3939 6.3939 6.3939 151.80 137.90 51.44
Each line ends with the local moment (μB).
Sites, in units of the cell vectors:
Br 0.1936 0.6936 0.5000  0.06
Fe 0.9988 0.9988 0.0000  2.72
Fe 0.8411 0.3411 0.5000  2.95
Hg 0.4665 0.4665 0.0000  -0.02

---

Compound: Fe2HgBr
Source: the Alexandria database
Functional: PBE
Structure: optimized geometry

Calculated values
As for the space group: Fm-3m (225). Its magnetization is 1.3757 μB/atom. The density of states at the Fermi level comes out at 0.907 states/eV per atom. Its formation energy without anion corrections is 0.768 eV/atom. The calculation puts the polymorph energy (0 for the lowest one) at 486 meV/atom.

Lattice parameters (Å, degrees): 4.6363 4.6363 4.6363 60.00 60.00 60.00
Each line ends with the local moment (μB).
Sites, in units of the cell vectors:
Hg 0.5000 0.5000 0.5000  -0.06
Br 0.0000 0.0000 0.0000  0.04
Fe 0.2500 0.2500 0.2500  2.83
Fe 0.7500 0.7500 0.7500  2.83

---

Compound: FeHg2Br
Source: the Alexandria database
Functional: PBE
Structure: optimized geometry

Calculated values
As for the space group: P4/mmm (123). Its magnetization is 0.8058 μB/atom. The density of states at the Fermi level comes out at 1.067 states/eV per atom. Its formation energy without anion corrections is 0.363 eV/atom. The calculation puts the polymorph energy (0 for the lowest one) at 236 meV/atom.

Lattice parameters (Å, degrees): 3.3175 3.3175 8.0237 90.00 90.00 90.00
Each line ends with the local moment (μB).
Sites, in units of the cell vectors:
Br 0.5000 0.5000 0.2500  0.05
Fe 0.5000 0.5000 0.7500  3.02
Hg 0.0000 0.0000 0.9680  0.04
Hg 0.0000 0.0000 0.5320  0.04

---

What is the formula in the third record? FeHg2Br